Entry 1:
A plane-wave DFT calculation with PBE was carried out for BeZnOsO6 after structural relaxation.

Lattice parameters (Å, degrees): 4.8148 4.8148 9.0117 90.00 90.00 120.00
Fractional coordinates of all 18 atoms:
Be: 0.6667 0.3333 0.2500
Be: 0.3333 0.6667 0.7500
Zn: 0.0000 0.0000 0.0000
Zn: 0.0000 0.0000 0.5000
Os: 0.3333 0.6667 0.2500
Os: 0.6667 0.3333 0.7500
O: 0.6444 0.6387 0.1365
O: 0.9943 0.3556 0.1365
O: 0.3556 0.9943 0.6365
O: 0.0057 0.6444 0.8635
O: 0.3613 0.3556 0.3635
O: 0.9943 0.6387 0.3635
O: 0.6387 0.9943 0.8635
O: 0.6444 0.0057 0.3635
O: 0.0057 0.3613 0.6365
O: 0.3613 0.0057 0.1365
O: 0.6387 0.6444 0.6365
O: 0.3556 0.3613 0.8635

Energy relative to the elements, uncorrected   -1.193 eV per atom
Electronic total energy   -113.44 eV per cell



Entry 2:
A plane-wave DFT calculation with PBE was carried out for ZrBeOs2O after structural relaxation.

Lattice parameters (Å, degrees): 3.9333 5.0135 3.9333 90.00 90.00 90.00
Fractional coordinates of all 5 atoms:
Be: 0.0000 0.0000 0.0000
Os: 0.0000 0.0000 0.5000
Os: 0.5000 0.0000 0.0000
O: 0.5000 0.5000 0.5000
Zr: 0.0000 0.5000 0.0000

Energy relative to the elements, uncorrected   0.836 eV per atom
Electronic total energy   -35.51 eV per cell



Entry 3:
A plane-wave DFT calculation with PBE was carried out for BeP2O6 after structural relaxation.

Lattice parameters (Å, degrees): 13.1416 5.0061 7.3021 67.68 90.00 90.00
Fractional coordinates of all 36 atoms:
Be: 0.9306 0.6588 0.2307
Be: 0.4306 0.3412 0.2693
Be: 0.0694 0.3412 0.7693
Be: 0.5694 0.6588 0.7307
O: 0.2339 0.8132 0.1477
O: 0.6362 0.8126 0.8512
O: 0.1362 0.1874 0.6488
O: 0.3638 0.1874 0.1488
O: 0.8638 0.8126 0.3512
O: 0.5807 0.3116 0.8363
O: 0.0807 0.6884 0.6637
O: 0.4193 0.6884 0.1637
O: 0.7339 0.1868 0.3523
O: 0.1550 0.0693 0.3509
O: 0.2661 0.8132 0.6477
O: 0.7661 0.1868 0.8523
O: 0.8450 0.9307 0.6491
O: 0.3450 0.0693 0.8509
O: 0.6130 0.7597 0.5050
O: 0.6550 0.9307 0.1491
O: 0.9493 0.2624 0.7706
O: 0.1130 0.2403 0.9950
O: 0.3870 0.2403 0.4950
O: 0.8870 0.7597 0.0050
O: 0.5507 0.2624 0.2706
O: 0.0507 0.7376 0.2294
O: 0.4493 0.7376 0.7294
O: 0.9193 0.3116 0.3363
P: 0.8701 0.0317 0.8276
P: 0.6525 0.0624 0.9118
P: 0.1525 0.9376 0.5882
P: 0.3475 0.9376 0.0882
P: 0.8475 0.0624 0.4118
P: 0.6299 0.0317 0.3276
P: 0.1299 0.9683 0.1724
P: 0.3701 0.9683 0.6724

Energy relative to the elements, uncorrected   -2.316 eV per atom
Electronic total energy   -260.56 eV per cell
Distance to the lowest polymorph of the same formula   0.0000 eV per atom



Entry 4:
A plane-wave DFT calculation with PBE was carried out for BePO2 after structural relaxation.

Lattice parameters (Å, degrees): 4.5469 4.5469 4.9944 62.92 62.92 90.00
Fractional coordinates of all 8 atoms:
P: 0.0000 0.0000 0.0000
P: 0.7500 0.2500 0.5000
O: 0.5273 0.1250 0.2500
O: 0.2227 0.6250 0.2500
O: 0.3750 0.4727 0.7500
O: 0.8750 0.7773 0.7500
Be: 0.5000 0.5000 0.0000
Be: 0.2500 0.7500 0.5000

Energy relative to the elements, uncorrected   -1.078 eV per atom
Electronic total energy   -46.73 eV per cell
Distance to the lowest polymorph of the same formula   0.4710 eV per atom



Entry 5:
A plane-wave DFT calculation with PBE was carried out for BeP2O after structural relaxation.

Lattice parameters (Å, degrees): 4.6165 4.6165 6.1384 67.91 67.91 90.00
Fractional coordinates of all 8 atoms:
P: 0.6372 0.1250 0.2500
P: 0.1128 0.6250 0.2500
P: 0.3750 0.3628 0.7500
P: 0.8750 0.8872 0.7500
O: 0.0000 0.0000 0.0000
O: 0.7500 0.2500 0.5000
Be: 0.5000 0.5000 0.0000
Be: 0.2500 0.7500 0.5000

Energy relative to the elements, uncorrected   0.102 eV per atom
Electronic total energy   -38.19 eV per cell
Distance to the lowest polymorph of the same formula   0.0000 eV per atom



Entry 6:
A plane-wave DFT calculation with PBE was carried out for BeP2O after structural relaxation.

Lattice parameters (Å, degrees): 3.9619 3.9619 3.9619 60.00 60.00 60.00
Fractional coordinates of all 4 atoms:
P: 0.2500 0.2500 0.2500
P: 0.7500 0.7500 0.7500
O: 0.5000 0.5000 0.5000
Be: 0.0000 0.0000 0.0000

Energy relative to the elements, uncorrected   0.610 eV per atom
Electronic total energy   -17.07 eV per cell
Distance to the lowest polymorph of the same formula   0.5077 eV per atom